The following is a GGA-PBE calculation of a geometry-optimized HgPd6Au structure, from Alexandria.

Computed properties:
**DFT formation energy**: -0.0886 eV/atom
**Uncorrected energy**: -0.1628 Ha/atom
**Energy above the lowest structure with this stoichiometry**: 0.0 meV/atom

Cell lengths 4.017, 4.954, 7.518 Å; angles 76.85, 74.50, 66.08 degrees
Fractional positions:
Hg (0.000, 0.500, 0.500)
Pd (0.250, 0.873, 0.627)
Pd (0.501, 0.246, 0.752)
Pd (0.251, 0.376, 0.123)
Pd (0.499, 0.754, 0.248)
Pd (0.750, 0.127, 0.373)
Pd (0.749, 0.624, 0.877)
Au (0.000, 0.000, 0.000)